[1]
Density functional theory data (GGA-PBE) for a geometry-optimized Nd4SbRh structure.

**E_form (uncorrected)**: -0.536 eV/atom

Cell lengths 8.6613, 8.6613, 7.8196 Å; angles 105.24, 105.24, 40.67 degrees
With the nearest neighbours (Å) after each atom.
Atoms (fractional coordinates):
Nd 0.0589 0.7852 0.5547  1 Rh 2.79
Nd 0.1977 0.4452 0.8612  2 Rh 2.84-2.88
Nd 0.2148 0.9411 0.9453  1 Rh 2.79
Nd 0.4452 0.1977 0.3612  2 Rh 2.84-2.88
Nd 0.5548 0.8023 0.6388  2 Rh 2.84-2.88
Nd 0.7852 0.0589 0.0547  1 Rh 2.79
Nd 0.8023 0.5548 0.1388  2 Rh 2.84-2.88
Nd 0.9411 0.2148 0.4453  1 Rh 2.79
Sb 0.3705 0.6295 0.2500  10 Nd 3.31-3.59
Sb 0.6295 0.3705 0.7500  10 Nd 3.31-3.59
Rh 0.0000 0.5000 0.5000  6 Nd 2.79-2.88
Rh 0.5000 0.0000 0.0000  6 Nd 2.79-2.88


[2]
Density functional theory data (GGA-PBE) for a geometry-optimized Cs2TaMnS4 structure.

**E_form (uncorrected)**: -1.108 eV/atom

Cell lengths 14.6760, 13.0562, 7.8077 Å; angles 85.49, 62.48, 32.03 degrees
With the nearest neighbours (Å) after each atom.
Atoms (fractional coordinates):
Cs 0.0496 0.0496 0.7004  8 S 3.66-3.95
Cs 0.2996 0.2996 0.9504  8 S 3.66-3.95
Cs 0.7004 0.7004 0.0496  8 S 3.66-3.95
Cs 0.9504 0.9504 0.2996  8 S 3.66-3.95
Ta 0.3750 0.3750 0.3750  4 S 2.33
Ta 0.6250 0.6250 0.6250  4 S 2.33
Mn 0.1250 0.1250 0.1250  4 S 2.37
Mn 0.8750 0.8750 0.8750  4 S 2.37
S 0.0122 0.3396 0.4236  1 Ta 2.33, 1 Mn 2.37
S 0.2754 0.5764 0.6604  1 Ta 2.33, 1 Mn 2.37
S 0.3396 0.0122 0.7246  1 Ta 2.33, 1 Mn 2.37
S 0.4236 0.7246 0.0122  1 Ta 2.33, 1 Mn 2.37
S 0.5764 0.2754 0.9878  1 Ta 2.33, 1 Mn 2.37
S 0.6604 0.9878 0.2754  1 Ta 2.33, 1 Mn 2.37
S 0.7246 0.4236 0.3396  1 Ta 2.33, 1 Mn 2.37
S 0.9878 0.6604 0.5764  1 Ta 2.33, 1 Mn 2.37


[3]
Density functional theory data (GGA-PBE) for a geometry-optimized MnCrNiAu structure.

**DFT formation energy**: 0.0470 eV per atom
**Relative energy among the computed polymorphs**: 3.8 kJ/mol of atoms

Cell lengths 3.1126, 3.1262, 5.6695 Å; angles 90.00, 90.00, 90.00 degrees
With the nearest neighbours (Å) after each atom.
Atoms (fractional coordinates):
Mn 0.0000 0.0000 0.0000  1 Ni 2.54, 4 Cr 2.54, 4 Au 2.73
Cr 0.5000 0.5000 0.7768  4 Mn 2.54, 4 Ni 2.55, 1 Au 2.80
Ni 0.0000 0.0000 0.5515  1 Mn 2.54, 4 Cr 2.55, 4 Au 2.68
Au 0.5000 0.5000 0.2837  4 Ni 2.68, 4 Mn 2.73, 2 Cr 2.80-2.87


[4]
Density functional theory data (GGA-PBE) for a geometry-optimized RbMgTc2Ir structure.

**DFT formation energy**: 2.4834 eV per atom

Cell lengths 4.7701, 4.7701, 5.0918 Å; angles 90.00, 90.00, 90.00 degrees
With the nearest neighbours (Å) after each atom.
Atoms (fractional coordinates):
Rb 0.0000 0.0000 0.0000  2 Mg 2.55
Mg 0.0000 0.0000 0.5000  4 Tc 2.39, 2 Rb 2.55
Tc 0.0000 0.5000 0.5000  2 Mg 2.39
Tc 0.5000 0.0000 0.5000  2 Mg 2.39
Ir 0.5000 0.5000 0.0000  4 Rb 3.37, 8 Tc 3.49


[5]
Density functional theory data (GGA-PBE) for a geometry-optimized Ac2DyAs3Pt12 structure.

**DFT formation energy**: -0.3468 eV per atom

Cell lengths 8.0172, 8.0172, 8.0172 Å; angles 64.16, 64.16, 64.16 degrees
With the nearest neighbours (Å) after each atom.
Atoms (fractional coordinates):
Ac 0.1070 0.1070 0.1070  6 Pt 2.98-3.03
Ac 0.8930 0.8930 0.8930  6 Pt 2.98-3.03
Dy 0.5000 0.5000 0.5000  6 Pt 2.70
As 0.0000 0.5000 0.5000  6 Pt 2.43-2.44
As 0.5000 0.0000 0.5000  6 Pt 2.43-2.44
As 0.5000 0.5000 0.0000  6 Pt 2.43-2.44
Pt 0.1093 0.6375 0.6375  1 As 2.44, 1 Dy 2.70
Pt 0.1496 0.1496 0.6069  2 As 2.43
Pt 0.1496 0.6069 0.1496  2 As 2.43
Pt 0.3625 0.3625 0.8907  1 As 2.44, 1 Dy 2.70
Pt 0.3625 0.8907 0.3625  1 As 2.44, 1 Dy 2.70
Pt 0.3931 0.8504 0.8504  2 As 2.43
Pt 0.6069 0.1496 0.1496  2 As 2.43
Pt 0.6375 0.1093 0.6375  1 As 2.44, 1 Dy 2.70
Pt 0.6375 0.6375 0.1093  1 As 2.44, 1 Dy 2.70
Pt 0.8504 0.3931 0.8504  2 As 2.43
Pt 0.8504 0.8504 0.3931  2 As 2.43
Pt 0.8907 0.3625 0.3625  1 As 2.44, 1 Dy 2.70


[6]
Density functional theory data (GGA-PBE) for a geometry-optimized TaAs2AuSe structure.

**E_form (uncorrected)**: 0.412 eV/atom
**Relative energy among the computed polymorphs**: 0.0 kJ/mol of atoms

Cell lengths 5.0362, 5.0362, 4.9084 Å; angles 90.00, 90.00, 90.00 degrees
With the nearest neighbours (Å) after each atom.
Atoms (fractional coordinates):
Ta 0.0000 0.0000 0.0000  2 Se 2.45, 4 As 2.52
As 0.0000 0.5000 0.0000  2 Ta 2.52
As 0.5000 0.0000 0.0000  2 Ta 2.52
Au 0.5000 0.5000 0.5000  8 As 3.52, 4 Se 3.56
Se 0.0000 0.0000 0.5000  2 Ta 2.45


[7]
Density functional theory data (GGA-PBE) for a geometry-optimized LaHfSeN2 structure.

**E_form (uncorrected)**: -0.930 eV/atom
**Relative energy among the computed polymorphs**: 0.0 kJ/mol of atoms

Cell lengths 4.2494, 4.2494, 5.2153 Å; angles 90.00, 90.00, 90.00 degrees
With the nearest neighbours (Å) after each atom.
Atoms (fractional coordinates):
La 0.0000 0.0000 0.0000  4 Se 3.00, 8 N 3.36
Hf 0.5000 0.5000 0.5000  4 N 2.12
Se 0.5000 0.5000 0.0000  2 Hf 2.61
N 0.0000 0.5000 0.5000  2 Hf 2.12
N 0.5000 0.0000 0.5000  2 Hf 2.12


[8]
Density functional theory data (GGA-PBE) for a geometry-optimized Tb2Pm3Pr7 structure.

**DFT formation energy**: 0.0876 eV per atom
**Relative energy among the computed polymorphs**: 1.6 kJ/mol of atoms

Cell lengths 6.0068, 3.6485, 19.3947 Å; angles 90.00, 93.31, 90.00 degrees
With the nearest neighbours (Å) after each atom.
Atoms (fractional coordinates):
Tb 0.2074 0.0000 0.2967  3 Pr 3.25-3.45
Tb 0.7926 0.0000 0.7033  3 Pr 3.25-3.45
Pm 0.0000 0.0000 0.0000  8 Pr 3.48-3.51, 2 Pm 3.65
Pm 0.2833 0.5000 0.6336  2 Pm 3.65, 8 Pr 3.74-4.03, 4 Tb 3.75-3.78
Pm 0.7167 0.5000 0.3664  2 Pm 3.65, 8 Pr 3.74-4.03, 4 Tb 3.75-3.78
Pr 0.1796 0.5000 0.1457  2 Tb 3.45, 2 Pm 3.48, 7 Pr 3.51-3.65
Pr 0.2429 0.0000 0.4647  1 Tb 3.25, 2 Pr 3.29-3.31
Pr 0.3178 0.0000 0.8173  6 Pr 3.56-3.65, 2 Tb 3.71-3.75
Pr 0.5000 0.5000 0.0000  4 Pr 3.51-3.65, 4 Pm 3.51
Pr 0.6822 0.0000 0.1827  6 Pr 3.56-3.65, 2 Tb 3.71-3.75
Pr 0.7571 0.0000 0.5353  1 Tb 3.25, 2 Pr 3.29-3.31
Pr 0.8204 0.5000 0.8543  2 Tb 3.45, 2 Pm 3.48, 7 Pr 3.51-3.65


[9]
Density functional theory data (GGA-PBE) for a geometry-optimized Fe4PdAu structure.

**DFT formation energy**: 0.0700 eV per atom

Cell lengths 4.8562, 4.8562, 4.8562 Å; angles 60.00, 60.00, 60.00 degrees
With the nearest neighbours (Å) after each atom.
Atoms (fractional coordinates):
Fe 0.1250 0.1250 0.1250  6 Fe 2.43
Fe 0.1250 0.1250 0.6251  6 Fe 2.43
Fe 0.1250 0.6251 0.1250  6 Fe 2.43
Fe 0.6251 0.1250 0.1250  6 Fe 2.43
Pd 0.5000 0.5000 0.5000  12 Fe 2.85, 4 Au 2.97
Au 0.7500 0.7500 0.7500  12 Fe 2.85, 4 Pd 2.97


[10]
Density functional theory data (GGA-PBE) for a geometry-optimized KSiPb2 structure.

**E_form (uncorrected)**: 0.348 eV/atom

Cell lengths 6.6487, 6.6487, 3.2912 Å; angles 103.03, 103.03, 117.04 degrees
With the nearest neighbours (Å) after each atom.
Atoms (fractional coordinates):
K 0.0000 0.0000 0.0000  2 K 3.29, 4 Pb 3.36, 4 Si 3.47-3.61
Si 0.5000 0.5000 0.0000  2 Si 3.29, 4 Pb 3.36, 4 K 3.47-3.61
Pb 0.0000 0.5000 0.5000  6 Pb 3.29-3.61, 2 K 3.36, 2 Si 3.36
Pb 0.5000 0.0000 0.5000  6 Pb 3.29-3.61, 2 K 3.36, 2 Si 3.36


[11]
Density functional theory data (GGA-PBE) for a geometry-optimized Cu3As2 structure.

**DFT formation energy**: 0.1913 eV per atom
**Relative energy among the computed polymorphs**: 8.5 kJ/mol of atoms

Cell lengths 9.5642, 9.5642, 9.5642 Å; angles 18.31, 18.31, 18.31 degrees
With the nearest neighbours (Å) after each atom.
Atoms (fractional coordinates):
Cu 0.0000 0.0000 0.0000  6 As 2.59
Cu 0.1993 0.1993 0.1993  3 Cu 2.55, 3 As 2.57
Cu 0.8007 0.8007 0.8007  3 Cu 2.55, 3 As 2.57
As 0.4008 0.4008 0.4008  6 Cu 2.57-2.59
As 0.5992 0.5992 0.5992  6 Cu 2.57-2.59


[12]
Density functional theory data (GGA-PBE) for a geometry-optimized NdSm2Er2Th2 structure.

**DFT formation energy**: 0.3556 eV per atom

Cell lengths 8.1197, 8.1197, 8.7907 Å; angles 93.52, 93.52, 24.76 degrees
With the nearest neighbours (Å) after each atom.
Atoms (fractional coordinates):
Nd 0.0000 0.0000 0.0000  4 Er 3.38, 2 Nd 3.48, 4 Th 3.50
Sm 0.3164 0.3164 0.3356  2 Th 3.47-3.64, 2 Sm 3.48, 3 Er 3.50-3.63
Sm 0.6836 0.6836 0.6644  2 Th 3.47-3.64, 2 Sm 3.48, 3 Er 3.50-3.63
Er 0.3196 0.3196 0.9235  4 Er 3.18-3.48, 1 Th 3.25, 2 Nd 3.38, 2 Sm 3.50
Er 0.6804 0.6804 0.0765  4 Er 3.18-3.48, 1 Th 3.25, 2 Nd 3.38, 2 Sm 3.50
Th 0.4539 0.4539 0.6588  3 Th 3.23-3.48, 1 Er 3.25, 1 Sm 3.47, 2 Nd 3.50
Th 0.5461 0.5461 0.3412  3 Th 3.23-3.48, 1 Er 3.25, 1 Sm 3.47, 2 Nd 3.50


[13]
Density functional theory data (GGA-PBE) for a geometry-optimized HfIn2HPt structure.

**E**: -4.467 eV per atom

Cell lengths 5.1222, 5.1222, 5.1393 Å; angles 90.00, 90.00, 90.00 degrees
With the nearest neighbours (Å) after each atom.
Atoms (fractional coordinates):
Hf 0.0000 0.0000 0.0000  2 Pt 2.57
In 0.0000 0.5000 0.5000  2 Pt 2.56
In 0.5000 0.0000 0.5000  2 Pt 2.56
H 0.5000 0.5000 0.0000  4 Hf 3.62, 8 In 3.63
Pt 0.0000 0.0000 0.5000  4 In 2.56, 2 Hf 2.57


[14]
Density functional theory data (GGA-PBE) for a geometry-optimized TbPmNd2Sm2 structure.

**DFT formation energy**: 0.0564 eV per atom

Cell lengths 7.0727, 5.7605, 9.9652 Å; angles 90.00, 90.00, 90.00 degrees
With the nearest neighbours (Å) after each atom.
Atoms (fractional coordinates):
Tb 0.2500 0.0000 0.1639  5 Sm 3.31-3.54
Tb 0.7500 0.0000 0.8361  5 Sm 3.31-3.54
Pm 0.0000 0.5000 0.0000  2 Pm 3.54, 2 Nd 3.73, 4 Tb 3.75, 6 Sm 3.77-3.78
Pm 0.5000 0.5000 0.0000  2 Pm 3.54, 2 Nd 3.73, 4 Tb 3.75, 6 Sm 3.77-3.78
Nd 0.0000 0.0000 0.5000  6 Nd 3.54-3.78, 6 Sm 3.75-3.76, 2 Tb 3.79
Nd 0.2500 0.5000 0.6708  5 Sm 3.30-3.54
Nd 0.5000 0.0000 0.5000  6 Nd 3.54-3.78, 6 Sm 3.75-3.76, 2 Tb 3.79
Nd 0.7500 0.5000 0.3292  5 Sm 3.30-3.54
Sm 0.2500 0.0000 0.8315  2 Nd 3.30, 3 Tb 3.31-3.54
Sm 0.2500 0.5000 0.3356  3 Nd 3.34-3.54, 2 Tb 3.35
Sm 0.7500 0.0000 0.1685  2 Nd 3.30, 3 Tb 3.31-3.54
Sm 0.7500 0.5000 0.6644  3 Nd 3.34-3.54, 2 Tb 3.35


[15]
Density functional theory data (GGA-PBE) for a geometry-optimized Ta2HgOs structure.

**DFT formation energy**: 0.2449 eV per atom

Cell lengths 5.5742, 5.5742, 5.5742 Å; angles 147.22, 129.76, 61.29 degrees
With the nearest neighbours (Å) after each atom.
Atoms (fractional coordinates):
Ta 0.0000 0.0000 0.0000  2 Os 2.64, 4 Hg 2.85, 2 Ta 2.90
Ta 0.7458 0.2458 0.5000  4 Os 2.85, 4 Ta 2.90-3.15, 2 Hg 3.04
Hg 0.4744 0.4744 0.0000  6 Ta 2.85-3.04, 2 Os 2.89, 2 Hg 3.15
Os 0.2216 0.7216 0.5000  6 Ta 2.64-2.85, 2 Hg 2.89


[16]
Density functional theory data (GGA-PBE) for a geometry-optimized SbTeSe4 structure.

**E_form (uncorrected)**: 0.620 eV/atom
**Relative energy among the computed polymorphs**: 67.7 kJ/mol of atoms

Cell lengths 5.8205, 5.8205, 5.8205 Å; angles 60.00, 60.00, 60.00 degrees
With the nearest neighbours (Å) after each atom.
Atoms (fractional coordinates):
Sb 0.0000 0.0000 0.0000  12 Se 3.41, 4 Te 3.56
Te 0.2500 0.2500 0.2500  12 Se 3.41, 4 Sb 3.56
Se 0.1243 0.6252 0.6252  6 Se 2.90-2.92
Se 0.6252 0.1243 0.6252  6 Se 2.90-2.92
Se 0.6252 0.6252 0.1243  6 Se 2.90-2.92
Se 0.6252 0.6252 0.6252  6 Se 2.90-2.92


[17]
Density functional theory data (GGA-PBE) for a geometry-optimized AcLaTb2Er structure.

**DFT formation energy**: 0.3884 eV per atom

Cell lengths 9.4521, 9.4521, 6.4881 Å; angles 90.00, 90.00, 139.40 degrees
With the nearest neighbours (Å) after each atom.
Atoms (fractional coordinates):
Ac 0.1574 0.8426 0.7500  1 La 3.33, 2 Er 3.53, 4 Tb 3.63
Ac 0.8426 0.1574 0.2500  1 La 3.33, 2 Er 3.53, 4 Tb 3.63
La 0.3452 0.6548 0.7500  1 Ac 3.33, 2 Er 3.52, 4 Tb 3.57
La 0.6548 0.3452 0.2500  1 Ac 3.33, 2 Er 3.52, 4 Tb 3.57
Tb 0.2542 0.2542 0.0000  4 Tb 3.22-3.34, 2 La 3.57
Tb 0.2542 0.2542 0.5000  4 Tb 3.22-3.34, 2 La 3.57
Tb 0.7458 0.7458 0.0000  4 Tb 3.22-3.34, 2 La 3.57
Tb 0.7458 0.7458 0.5000  4 Tb 3.22-3.34, 2 La 3.57
Er 0.2685 0.7315 0.2500  4 La 3.52-3.85, 4 Ac 3.53-3.80
Er 0.7315 0.2685 0.7500  4 La 3.52-3.85, 4 Ac 3.53-3.80


[18]
Density functional theory data (GGA-PBE) for a geometry-optimized Pm4GaCu structure.

**DFT formation energy**: -0.0609 eV per atom
**Relative energy among the computed polymorphs**: 14.0 kJ/mol of atoms

Cell lengths 4.9797, 4.9797, 7.2218 Å; angles 90.00, 90.00, 90.00 degrees
With the nearest neighbours (Å) after each atom.
Atoms (fractional coordinates):
Pm 0.0000 0.5000 0.2442  2 Cu 3.05, 2 Ga 3.10
Pm 0.0000 0.5000 0.7558  2 Cu 3.05, 2 Ga 3.10
Pm 0.5000 0.0000 0.2442  2 Cu 3.05, 2 Ga 3.10
Pm 0.5000 0.0000 0.7558  2 Cu 3.05, 2 Ga 3.10
Ga 0.0000 0.0000 0.5000  8 Pm 3.10
Cu 0.5000 0.5000 0.0000  8 Pm 3.05


[19]
Density functional theory data (GGA-PBE) for a geometry-optimized TaZn2Ir structure.

**DFT formation energy**: -0.1250 eV per atom

Cell lengths 3.8137, 3.8137, 4.2319 Å; angles 90.00, 90.00, 90.00 degrees
With the nearest neighbours (Å) after each atom.
Atoms (fractional coordinates):
Ta 0.0000 0.0000 0.0000  4 Ir 2.70, 8 Zn 2.85
Zn 0.0000 0.5000 0.5000  4 Zn 2.70, 4 Ta 2.85, 4 Ir 2.85
Zn 0.5000 0.0000 0.5000  4 Zn 2.70, 4 Ta 2.85, 4 Ir 2.85
Ir 0.5000 0.5000 0.0000  4 Ta 2.70, 8 Zn 2.85


[20]
Density functional theory data (GGA-PBE) for a geometry-optimized ScCd2Pd4 structure.

**DFT formation energy**: -0.4142 eV per atom

Cell lengths 8.0068, 8.0068, 8.0068 Å; angles 149.87, 149.87, 43.14 degrees
With the nearest neighbours (Å) after each atom.
Atoms (fractional coordinates):
Sc 0.0000 0.0000 0.0000  8 Pd 2.70
Cd 0.2531 0.2531 0.0000  8 Pd 2.85-2.92, 4 Cd 2.94
Cd 0.7469 0.7469 0.0000  8 Pd 2.85-2.92, 4 Cd 2.94
Pd 0.1157 0.6157 0.5000  2 Sc 2.70, 4 Cd 2.85-2.92, 4 Pd 2.94
Pd 0.3843 0.8843 0.5000  2 Sc 2.70, 4 Cd 2.85-2.92, 4 Pd 2.94
Pd 0.6157 0.1157 0.5000  2 Sc 2.70, 4 Cd 2.85-2.92, 4 Pd 2.94
Pd 0.8843 0.3843 0.5000  2 Sc 2.70, 4 Cd 2.85-2.92, 4 Pd 2.94